DFT (GGA+U) results for a relaxed structure of TeWN2F.

The electronic total energy comes out at -5.473 eV per atom. For the total moment, the calculation gives 0.1 Bohr magnetons per cell.

The space group is P4/mmm (No. 123) and the conventional cell measures 3.8857, 3.8857 and 5.6985 Å, with angles of 90.00, 90.00 and 90.00 degrees. The asymmetric unit holds Te at (0.0000, 0.0000, 0.0000), W at (0.0000, 0.0000, 0.5000), N at (0.0000, 0.5000, 0.5000) and F at (0.5000, 0.5000, 0.0000).